A relaxed Eu2ErMg crystal, computed with PBE-GGA.

Summary:
Energy relative to the lowest polymorph listed for this composition, eV/f.u.: 0.15
Symmetry: P4/mmm, No. 123
Calculated formation energy, eV/atom: 0.09
Fermi-level density of states, states/eV per cell: 5.61

a b c (Å): 5.099 5.099 5.145
angles (deg): 90.00 90.00 90.00
Positions (direct):
Eu  0.000  0.500  0.000
Eu  0.500  0.000  0.000
Er  0.000  0.000  0.500
Mg  0.500  0.500  0.500